Record 1
First-principles (GGA-PBE) data for an optimized crystal structure of CsGeMo, as listed in OQMD.

* SG: F-43m, No. 216
* E above lowest polymorph: 0 meV per atom

a b c (Å): 5.015 5.015 5.015
angles (deg): 60.00 60.00 60.00
Sites, in units of the cell vectors:
Cs 0.000 0.000 0.000
Ge 0.500 0.500 0.500
Mo 0.250 0.250 0.250


Record 2
First-principles (GGA-PBE) data for an optimized crystal structure of CsGeMo, as listed in OQMD.

* SG: F-43m, No. 216
* E above lowest polymorph: 102 meV per atom

a b c (Å): 5.198 5.198 5.198
angles (deg): 60.00 60.00 60.00
Sites, in units of the cell vectors:
Cs 0.000 0.000 0.000
Ge 0.250 0.250 0.250
Mo 0.500 0.500 0.500


Record 3
First-principles (GGA-PBE) data for an optimized crystal structure of CsGeMo, as listed in OQMD.

* SG: F-43m, No. 216
* E above lowest polymorph: 696 meV per atom

a b c (Å): 5.427 5.427 5.427
angles (deg): 60.00 60.00 60.00
Sites, in units of the cell vectors:
Cs 0.000 0.000 0.000
Ge 0.750 0.750 0.750
Mo 0.250 0.250 0.250


Record 4
First-principles (GGA-PBE) data for an optimized crystal structure of CsNbGe, as listed in OQMD.

* SG: F-43m, No. 216
* E above lowest polymorph: 0 meV per atom

a b c (Å): 4.943 4.943 4.943
angles (deg): 60.00 60.00 60.00
Sites, in units of the cell vectors:
Cs 0.000 0.000 0.000
Nb 0.250 0.250 0.250
Ge 0.500 0.500 0.500


Record 5
First-principles (GGA-PBE) data for an optimized crystal structure of CsNbGe, as listed in OQMD.

* SG: F-43m, No. 216
* E above lowest polymorph: 887 meV per atom

a b c (Å): 5.158 5.158 5.158
angles (deg): 60.00 60.00 60.00
Sites, in units of the cell vectors:
Cs 0.000 0.000 0.000
Nb 0.250 0.250 0.250
Ge 0.750 0.750 0.750


Record 6
First-principles (GGA-PBE) data for an optimized crystal structure of CsNbGe, as listed in OQMD.

* SG: F-43m, No. 216
* E above lowest polymorph: 179 meV per atom

a b c (Å): 5.149 5.149 5.149
angles (deg): 60.00 60.00 60.00
Sites, in units of the cell vectors:
Cs 0.000 0.000 0.000
Nb 0.500 0.500 0.500
Ge 0.250 0.250 0.250


Record 7
First-principles (GGA-PBE) data for an optimized crystal structure of CsNdGeS4, as listed in OQMD.

* SG: P2_1, No. 4
* final energy: -5.110 eV per atom

a b c (Å): 6.667 6.843 9.468
angles (deg): 90.00 107.73 90.00
Sites, in units of the cell vectors:
Cs 0.229 0.000 0.436
Cs 0.771 0.500 0.564
Nd 0.272 0.979 0.953
Nd 0.728 0.479 0.047
Ge 0.278 0.512 0.168
Ge 0.722 0.012 0.832
S 0.077 0.573 0.937
S 0.080 0.508 0.316
S 0.477 0.249 0.791
S 0.481 0.245 0.192
S 0.519 0.745 0.808
S 0.523 0.749 0.209
S 0.920 0.008 0.684
S 0.923 0.073 0.063


Record 8
First-principles (GGA-PBE) data for an optimized crystal structure of CsNdGeSe3, as listed in OQMD.

* SG: Cmcm, No. 63
* final energy: -4.603 eV per atom

a b c (Å): 8.219 8.219 11.600
angles (deg): 90.00 90.00 147.42
Sites, in units of the cell vectors:
Cs 0.246 0.754 0.750
Cs 0.754 0.246 0.250
Nd 0.500 0.500 0.000
Nd 0.500 0.500 0.500
Ge 0.032 0.968 0.250
Ge 0.968 0.032 0.750
Se 0.119 0.881 0.052
Se 0.119 0.881 0.448
Se 0.444 0.556 0.250
Se 0.556 0.444 0.750
Se 0.881 0.119 0.552
Se 0.881 0.119 0.948


Record 9
First-principles (GGA-PBE) data for an optimized crystal structure of CsNdGeTe3, as listed in OQMD.

* SG: Cmcm, No. 63
* final energy: -4.186 eV per atom

a b c (Å): 8.636 8.636 12.333
angles (deg): 90.00 90.00 147.67
Sites, in units of the cell vectors:
Cs 0.249 0.751 0.750
Cs 0.751 0.249 0.250
Nd 0.500 0.500 0.000
Nd 0.500 0.500 0.500
Ge 0.037 0.963 0.250
Ge 0.963 0.037 0.750
Te 0.126 0.874 0.050
Te 0.126 0.874 0.450
Te 0.441 0.559 0.250
Te 0.559 0.441 0.750
Te 0.874 0.126 0.550
Te 0.874 0.126 0.950


Record 10
First-principles (GGA-PBE) data for an optimized crystal structure of CsNi3Ge5, as listed in OQMD.

* SG: P6/mmm, No. 191
* final energy: -4.679 eV per atom

a b c (Å): 4.894 4.894 9.318
angles (deg): 90.00 90.00 120.00
Sites, in units of the cell vectors:
Cs 0.000 0.000 0.000
Ni 0.000 0.500 0.500
Ni 0.500 0.000 0.500
Ni 0.500 0.500 0.500
Ge 0.000 0.000 0.500
Ge 0.333 0.667 0.277
Ge 0.333 0.667 0.723
Ge 0.667 0.333 0.277
Ge 0.667 0.333 0.723


Record 11
First-principles (GGA-PBE) data for an optimized crystal structure of CsNiGeTe3, as listed in OQMD.

* SG: P2_1/m, No. 11
* final energy: -3.720 eV per atom

a b c (Å): 9.564 4.024 11.336
angles (deg): 90.00 114.54 90.00
Sites, in units of the cell vectors:
Cs 0.221 0.250 0.267
Cs 0.779 0.750 0.733
Ni 0.368 0.750 0.847
Ni 0.632 0.250 0.153
Ge 0.113 0.250 0.550
Ge 0.887 0.750 0.450
Te 0.162 0.250 0.802
Te 0.335 0.750 0.599
Te 0.433 0.750 0.091
Te 0.567 0.250 0.909
Te 0.665 0.250 0.401
Te 0.838 0.750 0.198


Record 12
First-principles (GGA-PBE) data for an optimized crystal structure of CsNpGe, as listed in OQMD.

* SG: F-43m, No. 216
* E above lowest polymorph: 472 meV per atom

a b c (Å): 5.097 5.097 5.097
angles (deg): 60.00 60.00 60.00
Sites, in units of the cell vectors:
Cs 0.000 0.000 0.000
Np 0.250 0.250 0.250
Ge 0.750 0.750 0.750


Record 13
First-principles (GGA-PBE) data for an optimized crystal structure of CsNpGe, as listed in OQMD.

* SG: F-43m, No. 216
* E above lowest polymorph: 0 meV per atom

a b c (Å): 5.449 5.449 5.449
angles (deg): 60.00 60.00 60.00
Sites, in units of the cell vectors:
Cs 0.000 0.000 0.000
Np 0.500 0.500 0.500
Ge 0.250 0.250 0.250


Record 14
First-principles (GGA-PBE) data for an optimized crystal structure of Cs4ZnGe2O7, as listed in OQMD.

* SG: P-1, No. 2
* final energy: -5.099 eV per atom

a b c (Å): 6.548 7.489 7.492
angles (deg): 114.36 107.54 100.94
Sites, in units of the cell vectors:
Cs 0.059 0.277 0.047
Cs 0.318 0.238 0.597
Cs 0.682 0.762 0.403
Cs 0.941 0.723 0.953
Zn 0.500 0.000 0.000
Ge 0.227 0.732 0.577
Ge 0.773 0.268 0.423
O 0.000 0.500 0.500
O 0.197 0.949 0.777
O 0.209 0.744 0.347
O 0.492 0.741 0.747
O 0.508 0.259 0.253
O 0.791 0.256 0.653
O 0.803 0.051 0.223


Record 15
First-principles (GGA-PBE) data for an optimized crystal structure of CsGeOs, as listed in OQMD.

* SG: F-43m, No. 216
* final energy: -4.097 eV per atom

a b c (Å): 4.716 4.716 4.716
angles (deg): 60.00 60.00 60.00
Sites, in units of the cell vectors:
Cs 0.000 0.000 0.000
Ge 0.500 0.500 0.500
Os 0.250 0.250 0.250


Record 16
First-principles (GGA-PBE) data for an optimized crystal structure of CsGePd, as listed in OQMD.

* SG: F-43m, No. 216
* E above lowest polymorph: 0 meV per atom

a b c (Å): 5.103 5.103 5.103
angles (deg): 60.00 60.00 60.00
Sites, in units of the cell vectors:
Cs 0.000 0.000 0.000
Ge 0.500 0.500 0.500
Pd 0.250 0.250 0.250


Record 17
First-principles (GGA-PBE) data for an optimized crystal structure of CsGePd, as listed in OQMD.

* SG: F-43m, No. 216
* E above lowest polymorph: 641 meV per atom

a b c (Å): 5.300 5.300 5.300
angles (deg): 60.00 60.00 60.00
Sites, in units of the cell vectors:
Cs 0.000 0.000 0.000
Ge 0.750 0.750 0.750
Pd 0.250 0.250 0.250


Record 18
First-principles (GGA-PBE) data for an optimized crystal structure of CsPrGeSe4, as listed in OQMD.

* SG: P2_1, No. 4
* final energy: -4.639 eV per atom

a b c (Å): 6.980 7.193 9.823
angles (deg): 90.00 107.94 90.00
Sites, in units of the cell vectors:
Cs 0.238 0.000 0.437
Cs 0.762 0.500 0.563
Pr 0.271 0.984 0.952
Pr 0.729 0.484 0.048
Ge 0.282 0.517 0.169
Ge 0.718 0.017 0.831
Se 0.075 0.582 0.931
Se 0.081 0.511 0.323
Se 0.468 0.258 0.786
Se 0.488 0.245 0.198
Se 0.512 0.745 0.802
Se 0.532 0.758 0.214
Se 0.919 0.011 0.677
Se 0.925 0.082 0.069


Record 19
First-principles (GGA-PBE) data for an optimized crystal structure of Cs4PuGeSe6, as listed in OQMD.

* SG: P1, No. 1
* final energy: -4.622 eV per atom

a b c (Å): 7.605 8.483 9.747
angles (deg): 73.55 67.64 63.62
Sites, in units of the cell vectors:
Cs 0.000 0.000 0.000
Cs 0.169 0.397 0.255
Cs 0.398 0.757 0.454
Cs 0.769 0.626 0.820
Pu 0.693 0.150 0.462
Ge 0.460 0.257 0.816
Se 0.283 0.557 0.854
Se 0.308 0.203 0.658
Se 0.474 0.033 0.023
Se 0.688 0.392 0.220
Se 0.815 0.221 0.661
Se 0.896 0.816 0.406


Record 20
First-principles (GGA-PBE) data for an optimized crystal structure of CsRb3Zn2Ge2, as listed in OQMD.

* SG: Pm, No. 6
* final energy: -2.051 eV per atom

a b c (Å): 6.861 6.577 6.926
angles (deg): 90.00 109.14 90.00
Sites, in units of the cell vectors:
Cs 0.000 0.000 0.000
Rb 0.303 0.500 0.309
Rb 0.661 0.000 0.333
Rb 0.962 0.500 0.639
Zn 0.476 0.250 0.820
Zn 0.476 0.750 0.820
Ge 0.261 0.000 0.584
Ge 0.703 0.500 0.047


Record 21
First-principles (GGA-PBE) data for an optimized crystal structure of CsReGe, as listed in OQMD.

* SG: F-43m, No. 216
* E above lowest polymorph: 683 meV per atom

a b c (Å): 5.313 5.313 5.313
angles (deg): 60.00 60.00 60.00
Sites, in units of the cell vectors:
Cs 0.000 0.000 0.000
Re 0.250 0.250 0.250
Ge 0.750 0.750 0.750


Record 22
First-principles (GGA-PBE) data for an optimized crystal structure of CsReGe, as listed in OQMD.

* SG: F-43m, No. 216
* E above lowest polymorph: 0 meV per atom

a b c (Å): 5.041 5.041 5.041
angles (deg): 60.00 60.00 60.00
Sites, in units of the cell vectors:
Cs 0.000 0.000 0.000
Re 0.500 0.500 0.500
Ge 0.250 0.250 0.250


Record 23
First-principles (GGA-PBE) data for an optimized crystal structure of CsReGeS5, as listed in OQMD.

* SG: P-1, No. 2
* final energy: -5.347 eV per atom

a b c (Å): 6.698 7.536 9.669
angles (deg): 67.17 78.90 77.42
Sites, in units of the cell vectors:
Cs 0.105 0.355 0.290
Cs 0.895 0.645 0.710
Re 0.285 0.000 0.999
Re 0.715 0.000 0.001
Ge 0.478 0.701 0.371
Ge 0.522 0.299 0.629
S 0.049 0.809 0.979
S 0.192 0.870 0.275
S 0.297 0.096 0.728
S 0.426 0.610 0.628
S 0.438 0.256 0.982
S 0.562 0.744 0.018
S 0.574 0.390 0.372
S 0.703 0.904 0.272
S 0.808 0.130 0.725
S 0.951 0.191 0.021


Record 24
First-principles (GGA-PBE) data for an optimized crystal structure of CsTbGeS4, as listed in OQMD.

* SG: P2_1, No. 4
* final energy: -5.085 eV per atom

a b c (Å): 6.542 6.775 9.411
angles (deg): 90.00 107.95 90.00
Sites, in units of the cell vectors:
Cs 0.235 0.000 0.437
Cs 0.765 0.500 0.563
Tb 0.272 0.022 0.954
Tb 0.728 0.522 0.046
Ge 0.278 0.486 0.163
Ge 0.722 0.986 0.837
S 0.065 0.415 0.935
S 0.076 0.492 0.312
S 0.471 0.749 0.796
S 0.485 0.755 0.185
S 0.515 0.255 0.815
S 0.529 0.249 0.204
S 0.924 0.992 0.688
S 0.935 0.915 0.065


| no. | calculated volume (Å³/cell) |
| --- | --- |
| 1 | 89 |
| 2 | 99 |
| 3 | 113 |
| 4 | 85 |
| 5 | 97 |
| 6 | 97 |
| 7 | 411 |
| 8 | 422 |
| 9 | 492 |
| 10 | 193 |
| 11 | 397 |
| 12 | 94 |
| 13 | 114 |
| 14 | 298 |
| 15 | 74 |
| 16 | 94 |
| 17 | 105 |
| 18 | 469 |
| 19 | 516 |
| 20 | 295 |
| 21 | 106 |
| 22 | 91 |
| 23 | 436 |
| 24 | 397 |